{"formula": "LiScW2", "functional": "meta-GGA SCAN", "state": "PBEsol geometry", "rho_g_cm3": 11.1, "dos_at_fermi_per_ev_atom": 1.112, "e_form_ev_per_atom": 1.09, "lattice_angstrom": [[0.000, 3.151, 3.151], [3.151, 0.000, 3.151], [3.151, 3.151, 0.000]], "species": ["Li", "Sc", "W", "W"], "frac_coords": [[0.000, 0.000, 0.000], [0.500, 0.500, 0.500], [0.250, 0.250, 0.250], [0.750, 0.750, 0.750]]}

{"formula": "LiScW2", "functional": "meta-GGA SCAN", "state": "PBEsol geometry", "rho_g_cm3": 10.2, "dos_at_fermi_per_ev_atom": 0.653, "e_form_ev_per_atom": 0.48, "lattice_angstrom": [[2.682, 0.000, 0.000], [0.000, 2.682, 0.000], [0.000, 0.000, 9.468]], "species": ["Li", "Sc", "W", "W"], "frac_coords": [[0.000, 0.000, 0.000], [0.500, 0.500, 0.282], [0.000, 0.000, 0.524], [0.500, 0.500, 0.764]]}

{"formula": "LiSc2W", "functional": "meta-GGA SCAN", "state": "PBEsol geometry", "rho_g_cm3": 6.2, "dos_at_fermi_per_ev_atom": 0.918, "e_form_ev_per_atom": 0.42, "lattice_angstrom": [[1.681, -2.268, 0.000], [1.681, 2.268, 0.000], [0.000, 0.000, 9.923]], "species": ["Li", "Sc", "Sc", "W"], "frac_coords": [[0.000, 0.000, 0.000], [0.000, 0.000, 0.549], [0.500, 0.500, 0.267], [0.500, 0.500, 0.771]]}

{"formula": "LiSc2W", "functional": "meta-GGA SCAN", "state": "PBEsol geometry", "rho_g_cm3": 6.3, "dos_at_fermi_per_ev_atom": 0.785, "e_form_ev_per_atom": 0.33, "lattice_angstrom": [[3.307, -3.796, 0.000], [3.307, 3.796, 0.000], [0.000, 0.000, 2.948]], "species": ["Li", "Sc", "Sc", "W"], "frac_coords": [[0.000, 0.000, 0.000], [0.000, 0.500, 0.500], [0.500, 0.000, 0.500], [0.500, 0.500, 0.000]]}

{"formula": "LiScW", "functional": "meta-GGA SCAN", "state": "PBEsol geometry", "rho_g_cm3": 7.4, "dos_at_fermi_per_ev_atom": 1.127, "e_form_ev_per_atom": 1.32, "lattice_angstrom": [[0.000, 2.973, 2.973], [2.973, 0.000, 2.973], [2.973, 2.973, 0.000]], "species": ["Li", "Sc", "W"], "frac_coords": [[0.000, 0.000, 0.000], [0.250, 0.250, 0.250], [0.750, 0.750, 0.750]]}

{"formula": "LiYSc2", "functional": "meta-GGA SCAN", "state": "PBEsol geometry", "rho_g_cm3": 3.2, "dos_at_fermi_per_ev_atom": 0.948, "e_form_ev_per_atom": 0.10, "lattice_angstrom": [[3.400, 0.000, 0.000], [0.000, 3.400, 0.000], [0.000, 0.000, 8.316]], "species": ["Li", "Y", "Sc", "Sc"], "frac_coords": [[0.000, 0.000, 0.000], [0.500, 0.500, 0.744], [0.000, 0.000, 0.467], [0.500, 0.500, 0.218]]}